PaBeGe2: relaxed, PBE.

The space group is P4/mmm (No. 123) and the conventional cell measures 4.2243, 4.2243 and 4.0852 Å, with angles of 90.00, 90.00 and 90.00 degrees. The distinct sites, in fractional coordinates, are Pa at (0.0000, 0.0000, 0.0000), Be at (0.5000, 0.5000, 0.0000) and Ge at (0.0000, 0.5000, 0.5000).

The value obtained for the formation energy from the elements is -0.1885 eV/atom. For the total magnetization, the calculation gives 0.000 μB/cell. Its density is 8.78 g cm⁻³. The crystal system is tetragonal. For the electronic total energy, the calculation gives -5.803 eV per atom. As for the polymorph energy (0 for the lowest one): 0.000 eV per atom.